# 1
A plane-wave DFT calculation with PBE was carried out for a geometry-optimized KNiW2 structure.

Output
The calculation puts the energy of formation at 1.4267 eV/atom. For the relative energy among the computed polymorphs, the calculation gives 0.710 eV per atom. The calculation puts the theoretical density at 10.74 Mg/m³. The calculated volume comes out at 71.96 Å³/cell. The symmetry is Pmmm.

Lattice parameters (Å, degrees): 2.8708 4.6478 5.3928 90.00 90.00 90.00
Closest atoms and distances in Å follow each position.
Fractional positions:
1 K 0.0000 0.0000 0.0000  4 Ni 2.73, 2 K 2.87, 4 W 3.05
2 Ni 0.5000 0.5000 0.0000  4 K 2.73, 2 Ni 2.87, 4 W 3.05
3 W 0.0000 0.5000 0.5000  6 W 2.73-2.87, 4 Ni 3.05
4 W 0.5000 0.0000 0.5000  6 W 2.73-2.87, 4 K 3.05

---

# 2
A plane-wave DFT calculation with PBE was carried out for a geometry-optimized CsReSb2I structure.

Output
For the relative energy among the computed polymorphs, the calculation gives 2.080 eV per atom. The calculation puts the theoretical density at 3.70 Mg/m³. The calculated volume comes out at 309.30 Å³/cell. The uncorrected formation energy is 2.21 eV/atom. The symmetry is P4/mmm.

Lattice parameters (Å, degrees): 6.6384 6.6384 7.0185 90.00 90.00 90.00
Closest atoms and distances in Å follow each position.
Fractional positions:
1 Cs 0.0000 0.0000 0.0000  4 Sb 3.32, 2 I 3.51
2 Re 0.5000 0.5000 0.5000  4 I 4.69, 8 Sb 4.83
3 Sb 0.0000 0.5000 0.0000  2 Cs 3.32
4 Sb 0.5000 0.0000 0.0000  2 Cs 3.32
5 I 0.0000 0.0000 0.5000  2 Cs 3.51

---

# 3
A plane-wave DFT calculation with PBE was carried out for a geometry-optimized Sn2SbRh8 structure.

Output
The calculation puts the theoretical density at 10.74 Mg/m³. The calculated volume comes out at 182.90 Å³/cell. The uncorrected formation energy is -0.23 eV/atom. The symmetry is Immm.

Lattice parameters (Å, degrees): 7.3732 7.3732 7.3732 148.32 118.15 71.17
Closest atoms and distances in Å follow each position.
Fractional positions:
1 Sn 0.1483 0.1483 0.0000  10 Rh 2.71-2.90
2 Sn 0.8517 0.8517 0.0000  10 Rh 2.71-2.90
3 Sb 0.5000 0.5000 0.0000  12 Rh 2.66-2.93
4 Rh 0.0897 0.3287 0.7610  7 Rh 2.68-2.88, 1 Sb 2.74, 3 Sn 2.82-2.84
5 Rh 0.2704 0.0000 0.2704  2 Sb 2.66, 2 Sn 2.71, 6 Rh 2.75-2.88
6 Rh 0.3224 0.8224 0.5000  8 Rh 2.68-2.75, 2 Sn 2.90, 2 Sb 2.93
7 Rh 0.4323 0.6713 0.7610  7 Rh 2.68-2.88, 1 Sb 2.74, 3 Sn 2.82-2.84
8 Rh 0.5677 0.3287 0.2390  7 Rh 2.68-2.88, 1 Sb 2.74, 3 Sn 2.82-2.84
9 Rh 0.6776 0.1776 0.5000  8 Rh 2.68-2.75, 2 Sn 2.90, 2 Sb 2.93
10 Rh 0.7296 0.0000 0.7296  2 Sb 2.66, 2 Sn 2.71, 6 Rh 2.75-2.88
11 Rh 0.9103 0.6713 0.2390  7 Rh 2.68-2.88, 1 Sb 2.74, 3 Sn 2.82-2.84

---

# 4
A plane-wave DFT calculation with PBE was carried out for a geometry-optimized Tb6Nd4Dy structure.

Output
The calculation puts the energy of formation at 0.2939 eV/atom. For the relative energy among the computed polymorphs, the calculation gives 0.000 eV per atom. The calculation puts the theoretical density at 7.38 Mg/m³. The calculated volume comes out at 380.83 Å³/cell. The symmetry is I-42m.

Lattice parameters (Å, degrees): 9.7422 9.7422 9.7422 139.86 139.86 58.07
Closest atoms and distances in Å follow each position.
Fractional positions:
1 Tb 0.0000 0.5000 0.5000  4 Tb 3.25, 2 Dy 3.34
2 Tb 0.0531 0.6986 0.0000  3 Tb 3.25-3.35, 3 Nd 3.41-3.49
3 Tb 0.3014 0.3014 0.3544  3 Tb 3.25-3.35, 3 Nd 3.41-3.49
4 Tb 0.5000 0.0000 0.5000  4 Tb 3.25, 2 Dy 3.34
5 Tb 0.6986 0.0531 0.0000  3 Tb 3.25-3.35, 3 Nd 3.41-3.49
6 Tb 0.9469 0.9469 0.6456  3 Tb 3.25-3.35, 3 Nd 3.41-3.49
7 Nd 0.1341 0.1341 0.6203  5 Tb 3.41-3.65, 1 Dy 3.49, 1 Nd 3.59
8 Nd 0.4861 0.8659 0.0000  5 Tb 3.41-3.65, 1 Dy 3.49, 1 Nd 3.59
9 Nd 0.5139 0.5139 0.3797  5 Tb 3.41-3.65, 1 Dy 3.49, 1 Nd 3.59
10 Nd 0.8659 0.4861 0.0000  5 Tb 3.41-3.65, 1 Dy 3.49, 1 Nd 3.59
11 Dy 0.5000 0.5000 0.0000  8 Tb 3.34-3.71, 4 Nd 3.49

---

# 5
A plane-wave DFT calculation with PBE was carried out for a geometry-optimized Sm2HfSe2N2 structure.

Output
The calculation puts the theoretical density at 8.22 Mg/m³. The calculated volume comes out at 268.67 Å³/cell. The uncorrected formation energy is -1.70 eV/atom. The symmetry is I4/mmm.

Lattice parameters (Å, degrees): 4.2192 4.2192 15.0921 90.00 90.00 90.00
Closest atoms and distances in Å follow each position.
Fractional positions:
1 Sm 0.0000 0.0000 0.1115  4 N 2.70
2 Sm 0.0000 0.0000 0.8885  4 N 2.70
3 Sm 0.5000 0.5000 0.3885  4 N 2.70
4 Sm 0.5000 0.5000 0.6115  4 N 2.70
5 Hf 0.0000 0.0000 0.5000  4 N 2.11
6 Hf 0.5000 0.5000 0.0000  4 N 2.11
7 Se 0.0000 0.0000 0.3192  1 Hf 2.73
8 Se 0.0000 0.0000 0.6808  1 Hf 2.73
9 Se 0.5000 0.5000 0.1808  1 Hf 2.73
10 Se 0.5000 0.5000 0.8192  1 Hf 2.73
11 N 0.0000 0.5000 0.0000  2 Hf 2.11
12 N 0.0000 0.5000 0.5000  2 Hf 2.11
13 N 0.5000 0.0000 0.0000  2 Hf 2.11
14 N 0.5000 0.0000 0.5000  2 Hf 2.11

---

# 6
A plane-wave DFT calculation with PBE was carried out for a geometry-optimized Pm3ScCu4 structure.

Output
The calculation puts the energy of formation at -0.1771 eV/atom. The calculation puts the theoretical density at 7.18 Mg/m³. The calculated volume comes out at 169.75 Å³/cell. The symmetry is P4/mmm.

Lattice parameters (Å, degrees): 3.4767 3.4767 14.0436 90.00 90.00 90.00
Closest atoms and distances in Å follow each position.
Fractional positions:
1 Pm 0.0000 0.0000 0.0000  8 Cu 3.05
2 Pm 0.0000 0.0000 0.2597  8 Cu 3.07-3.14, 1 Sc 3.38
3 Pm 0.0000 0.0000 0.7403  8 Cu 3.07-3.14, 1 Sc 3.38
4 Sc 0.0000 0.0000 0.5000  8 Cu 2.84
5 Cu 0.5000 0.5000 0.1288  8 Pm 3.05-3.07
6 Cu 0.5000 0.5000 0.3993  1 Cu 2.83, 4 Sc 2.84, 4 Pm 3.14
7 Cu 0.5000 0.5000 0.6007  1 Cu 2.83, 4 Sc 2.84, 4 Pm 3.14
8 Cu 0.5000 0.5000 0.8712  8 Pm 3.05-3.07

---

# 7
A plane-wave DFT calculation with PBE was carried out for a geometry-optimized PrHfGa2 structure.

Output
The calculation puts the energy of formation at -0.4067 eV/atom. For the relative energy among the computed polymorphs, the calculation gives 0.000 eV per atom. The calculation puts the theoretical density at 8.68 Mg/m³. The calculated volume comes out at 87.83 Å³/cell. The symmetry is P4/mmm.

Lattice parameters (Å, degrees): 3.6146 3.6146 6.7222 90.00 90.00 90.00
Closest atoms and distances in Å follow each position.
Fractional positions:
1 Pr 0.0000 0.0000 0.0000  8 Ga 3.24, 2 Hf 3.36, 4 Pr 3.61
2 Hf 0.0000 0.0000 0.5000  8 Ga 2.90
3 Ga 0.5000 0.5000 0.2952  1 Ga 2.75, 4 Hf 2.90
4 Ga 0.5000 0.5000 0.7048  1 Ga 2.75, 4 Hf 2.90

---

# 8
A plane-wave DFT calculation with PBE was carried out for a geometry-optimized CaCoCl structure.

Output
The calculation puts the theoretical density at 3.50 Mg/m³. The calculated volume comes out at 255.45 Å³/cell. The uncorrected formation energy is -0.27 eV/atom. The symmetry is Imma.

Lattice parameters (Å, degrees): 5.8981 7.5422 5.7424 90.00 90.00 90.00
Closest atoms and distances in Å follow each position.
Fractional positions:
1 Ca 0.0000 0.0000 0.0000  4 Cl 2.79, 2 Co 2.98
2 Ca 0.0000 0.5000 0.0000  4 Cl 2.79, 2 Co 2.98
3 Ca 0.5000 0.0000 0.5000  4 Cl 2.79, 2 Co 2.98
4 Ca 0.5000 0.5000 0.5000  4 Cl 2.79, 2 Co 2.98
5 Co 0.0000 0.2500 0.4027  2 Cl 2.48
6 Co 0.0000 0.7500 0.5973  2 Cl 2.48
7 Co 0.5000 0.2500 0.0973  2 Cl 2.48
8 Co 0.5000 0.7500 0.9027  2 Cl 2.48
9 Cl 0.2500 0.2500 0.7500  2 Co 2.48
10 Cl 0.2500 0.7500 0.2500  2 Co 2.48
11 Cl 0.7500 0.2500 0.7500  2 Co 2.48
12 Cl 0.7500 0.7500 0.2500  2 Co 2.48

---

# 9
A plane-wave DFT calculation with PBE was carried out for a geometry-optimized Ce2MgCo4P3 structure.

Output
The calculation puts the energy of formation at -0.8205 eV/atom. The calculation puts the theoretical density at 7.08 Mg/m³. The calculated volume comes out at 148.51 Å³/cell. The symmetry is P-4m2.

Lattice parameters (Å, degrees): 3.8123 3.8123 10.2181 90.00 90.00 90.00
Closest atoms and distances in Å follow each position.
Fractional positions:
1 Ce 0.0000 0.5000 0.2421  8 Co 2.88-3.12, 4 P 2.97
2 Ce 0.5000 0.0000 0.7579  8 Co 2.88-3.12, 4 P 2.97
3 Mg 0.0000 0.0000 0.5000  4 Co 2.51, 4 P 2.70
4 Co 0.0000 0.0000 0.0000  4 P 2.27
5 Co 0.0000 0.5000 0.6593  3 P 2.24-2.51, 2 Mg 2.51
6 Co 0.5000 0.0000 0.3407  3 P 2.24-2.51, 2 Mg 2.51
7 Co 0.5000 0.5000 0.0000  4 P 2.27
8 P 0.0000 0.5000 0.8788  5 Co 2.24-2.27
9 P 0.5000 0.0000 0.1212  5 Co 2.24-2.27
10 P 0.5000 0.5000 0.5000  4 Co 2.51, 4 Mg 2.70

---

# 10
A plane-wave DFT calculation with PBE was carried out for a geometry-optimized SrIn2Ga2 structure.

Output
The calculation puts the energy of formation at -0.1296 eV/atom. The calculation puts the theoretical density at 5.82 Mg/m³. The calculated volume comes out at 260.57 Å³/cell. The symmetry is P4/mbm.

Lattice parameters (Å, degrees): 8.5373 8.5373 3.5750 90.00 90.00 90.00
Closest atoms and distances in Å follow each position.
Fractional positions:
1 Sr 0.0000 0.0000 0.0000  4 In 3.37, 2 Sr 3.58, 8 Ga 3.64
2 Sr 0.5000 0.5000 0.0000  4 In 3.37, 2 Sr 3.58, 8 Ga 3.64
3 In 0.1267 0.3733 0.0000  6 Ga 3.03-3.13, 1 In 3.06, 2 Sr 3.37
4 In 0.3733 0.8733 0.0000  6 Ga 3.03-3.13, 1 In 3.06, 2 Sr 3.37
5 In 0.6267 0.1267 0.0000  6 Ga 3.03-3.13, 1 In 3.06, 2 Sr 3.37
6 In 0.8733 0.6267 0.0000  6 Ga 3.03-3.13, 1 In 3.06, 2 Sr 3.37
7 Ga 0.1704 0.6704 0.5000  6 In 3.03-3.13
8 Ga 0.3296 0.1704 0.5000  6 In 3.03-3.13
9 Ga 0.6704 0.8296 0.5000  6 In 3.03-3.13
10 Ga 0.8296 0.3296 0.5000  6 In 3.03-3.13